Compound: Dy3Ho4In4
Source: Alexandria
Functional: PBE-GGA
Structure: optimized geometry

a = 9.818 Å, b = 9.818 Å, c = 9.818 Å
α = 148.89°, β = 139.23°, γ = 52.16°
Fractional positions:
Dy1 0.000 0.000 0.000
Dy2 0.401 0.901 0.500
Dy3 0.599 0.099 0.500
Ho1 0.060 0.320 0.740
Ho2 0.420 0.680 0.740
Ho3 0.580 0.320 0.260
Ho4 0.940 0.680 0.260
In1 0.172 0.172 0.000
In2 0.280 0.500 0.780
In3 0.720 0.500 0.220
In4 0.828 0.828 0.000

Properties
Crystal system = orthorhombic


Compound: Dy3HoIn2
Source: Alexandria
Functional: PBE-GGA
Structure: optimized geometry

a = 9.890 Å, b = 9.890 Å, c = 9.890 Å
α = 160.27°, β = 146.78°, γ = 38.93°
Fractional positions:
Dy1 0.000 0.000 0.000
Dy2 0.314 0.814 0.500
Dy3 0.686 0.186 0.500
Ho1 0.500 0.000 0.500
In1 0.146 0.646 0.500
In2 0.854 0.354 0.500

Properties
Crystal system = orthorhombic


Compound: DyHo4In
Source: Alexandria
Functional: PBE-GGA
Structure: optimized geometry

a = 7.738 Å, b = 7.738 Å, c = 9.830 Å
α = 90.00°, β = 90.00°, γ = 143.46°
Fractional positions:
Dy1 0.168 0.832 0.500
Dy2 0.832 0.168 0.000
Ho1 0.004 0.996 0.756
Ho2 0.167 0.833 0.011
Ho3 0.327 0.673 0.756
Ho4 0.500 0.500 0.006
Ho5 0.500 0.500 0.506
Ho6 0.673 0.327 0.256
Ho7 0.833 0.167 0.511
Ho8 0.996 0.004 0.256
In1 0.335 0.665 0.256
In2 0.665 0.335 0.756

Properties
Crystal system = orthorhombic


Compound: DyHo6In2
Source: Alexandria
Functional: PBE-GGA
Structure: optimized geometry

a = 6.596 Å, b = 6.596 Å, c = 11.865 Å
α = 107.28°, β = 107.28°, γ = 32.74°
Fractional positions:
Dy1 0.000 0.000 0.000
Ho1 0.015 0.015 0.343
Ho2 0.310 0.310 0.415
Ho3 0.316 0.316 0.124
Ho4 0.684 0.684 0.876
Ho5 0.690 0.690 0.585
Ho6 0.985 0.985 0.657
In1 0.357 0.357 0.793
In2 0.643 0.643 0.207

Properties
Crystal system = monoclinic


Compound: Dy5Ho2In2
Source: Alexandria
Functional: PBE-GGA
Structure: optimized geometry

a = 10.044 Å, b = 10.044 Å, c = 10.044 Å
α = 75.72°, β = 117.24°, γ = 142.08°
Fractional positions:
Dy1 0.053 0.509 0.845
Dy2 0.053 0.707 0.044
Dy3 0.118 0.257 0.361
Dy4 0.244 0.055 0.299
Dy5 0.244 0.445 0.689
Dy6 0.664 0.009 0.956
Dy7 0.664 0.207 0.155
Dy8 0.756 0.555 0.311
Dy9 0.756 0.945 0.701
Dy10 0.896 0.757 0.639
Ho1 0.498 0.265 0.733
Ho2 0.532 0.765 0.267
Ho3 0.701 0.201 0.500
Ho4 0.701 0.701 0.000
In1 0.210 0.326 0.060
In2 0.210 0.649 0.384
In3 0.266 0.149 0.940
In4 0.266 0.826 0.616

Properties
Crystal system = orthorhombic


Compound: Dy6HoIn4
Source: Alexandria
Functional: PBE-GGA
Structure: optimized geometry

a = 8.002 Å, b = 8.002 Å, c = 8.002 Å
α = 122.41°, β = 122.41°, γ = 85.87°
Fractional positions:
Dy1 0.000 0.500 0.500
Dy2 0.027 0.027 0.625
Dy3 0.403 0.403 0.375
Dy4 0.500 0.000 0.500
Dy5 0.597 0.973 0.000
Dy6 0.973 0.597 0.000
Ho1 0.500 0.500 0.000
In1 0.101 0.101 0.336
In2 0.235 0.899 0.000
In3 0.765 0.765 0.664
In4 0.899 0.235 0.000

Properties
Crystal system = tetragonal


Compound: DyHo5In3
Source: Alexandria
Functional: PBE-GGA
Structure: optimized geometry

a = 9.306 Å, b = 9.306 Å, c = 6.704 Å
α = 90.00°, β = 90.00°, γ = 120.00°
Fractional positions:
Dy1 0.000 0.000 0.000
Dy2 0.000 0.000 0.500
Ho1 0.000 0.333 0.250
Ho2 0.000 0.667 0.750
Ho3 0.333 0.000 0.250
Ho4 0.333 0.333 0.750
Ho5 0.333 0.667 0.000
Ho6 0.333 0.667 0.500
Ho7 0.667 0.000 0.750
Ho8 0.667 0.333 0.000
Ho9 0.667 0.333 0.500
Ho10 0.667 0.667 0.250
In1 0.000 0.334 0.750
In2 0.000 0.666 0.250
In3 0.334 0.000 0.750
In4 0.334 0.334 0.250
In5 0.666 0.000 0.250
In6 0.666 0.666 0.750

Properties
Crystal system = hexagonal


Compound: Dy8Ho3In
Source: Alexandria
Functional: PBE-GGA
Structure: optimized geometry

a = 3.523 Å, b = 8.541 Å, c = 12.717 Å
α = 103.55°, β = 97.96°, γ = 90.01°
Fractional positions:
Dy1 0.000 0.000 0.000
Dy2 0.036 0.612 0.072
Dy3 0.194 0.306 0.389
Dy4 0.574 0.313 0.150
Dy5 0.617 0.964 0.234
Dy6 0.674 0.643 0.345
Dy7 0.831 0.330 0.658
Dy8 0.867 0.963 0.732
Ho1 0.247 0.980 0.491
Ho2 0.292 0.640 0.580
Ho3 0.421 0.664 0.840
In1 0.447 0.296 0.891

Properties
Crystal system = triclinic


Compound: DyHoIn2
Source: Alexandria
Functional: PBE-GGA
Structure: optimized geometry

a = 3.751 Å, b = 3.751 Å, c = 7.519 Å
α = 90.00°, β = 90.00°, γ = 90.00°
Fractional positions:
Dy1 0.000 0.000 0.000
Ho1 0.000 0.000 0.500
In1 0.500 0.500 0.251
In2 0.500 0.500 0.749

Properties
Crystal system = tetragonal


Compound: Dy2Ho8In3
Source: Alexandria
Functional: PBE-GGA
Structure: optimized geometry

a = 12.161 Å, b = 12.161 Å, c = 12.161 Å
α = 30.37°, β = 30.37°, γ = 30.37°
Fractional positions:
Dy1 0.136 0.136 0.136
Dy2 0.864 0.864 0.864
Ho1 0.220 0.220 0.721
Ho2 0.220 0.721 0.220
Ho3 0.226 0.226 0.226
Ho4 0.279 0.780 0.780
Ho5 0.721 0.220 0.220
Ho6 0.774 0.774 0.774
Ho7 0.780 0.279 0.780
Ho8 0.780 0.780 0.279
In1 0.312 0.312 0.312
In2 0.500 0.500 0.500
In3 0.688 0.688 0.688

Properties
Crystal system = trigonal


Compound: Dy6Ho5In
Source: Alexandria
Functional: PBE-GGA
Structure: optimized geometry

a = 9.287 Å, b = 9.287 Å, c = 9.287 Å
α = 149.24°, β = 115.72°, γ = 72.95°
Fractional positions:
Dy1 0.080 0.334 0.746
Dy2 0.245 0.000 0.245
Dy3 0.413 0.666 0.746
Dy4 0.587 0.334 0.254
Dy5 0.755 0.000 0.755
Dy6 0.920 0.666 0.254
Ho1 0.167 0.167 0.000
Ho2 0.336 0.836 0.500
Ho3 0.500 0.500 0.000
Ho4 0.664 0.164 0.500
Ho5 0.833 0.833 0.000
In1 0.000 0.500 0.500

Properties
Crystal system = orthorhombic


Compound: Dy9HoIn2
Source: Alexandria
Functional: PBE-GGA
Structure: optimized geometry

a = 4.867 Å, b = 4.867 Å, c = 14.893 Å
α = 90.00°, β = 90.00°, γ = 90.00°
Fractional positions:
Dy1 0.000 0.000 0.000
Dy2 0.000 0.000 0.337
Dy3 0.000 0.000 0.663
Dy4 0.000 0.500 0.172
Dy5 0.000 0.500 0.500
Dy6 0.000 0.500 0.828
Dy7 0.500 0.000 0.172
Dy8 0.500 0.000 0.500
Dy9 0.500 0.000 0.828
Ho1 0.500 0.500 0.000
In1 0.500 0.500 0.339
In2 0.500 0.500 0.661

Properties
Crystal system = tetragonal


Compound: Dy3HoIn
Source: Alexandria
Functional: PBE-GGA
Structure: optimized geometry

a = 6.812 Å, b = 6.812 Å, c = 8.763 Å
α = 90.00°, β = 90.00°, γ = 128.97°
Fractional positions:
Dy1 0.062 0.938 0.750
Dy2 0.176 0.824 0.068
Dy3 0.176 0.824 0.432
Dy4 0.824 0.176 0.568
Dy5 0.824 0.176 0.932
Dy6 0.938 0.062 0.250
Ho1 0.429 0.571 0.250
Ho2 0.571 0.429 0.750
In1 0.320 0.680 0.750
In2 0.680 0.320 0.250

Properties
Crystal system = orthorhombic


Compound: DyHoIn2
Source: Alexandria
Functional: PBE-GGA
Structure: optimized geometry

a = 9.934 Å, b = 9.934 Å, c = 9.934 Å
α = 21.34°, β = 21.34°, γ = 21.34°
Fractional positions:
Dy1 0.000 0.000 0.000
Ho1 0.500 0.500 0.500
In1 0.250 0.250 0.250
In2 0.750 0.750 0.750

Properties
Crystal system = trigonal


Compound: Dy4HoIn2
Source: Alexandria
Functional: PBE-GGA
Structure: optimized geometry

a = 9.030 Å, b = 9.030 Å, c = 5.322 Å
α = 90.00°, β = 90.00°, γ = 90.00°
Fractional positions:
Dy1 0.078 0.332 0.000
Dy2 0.168 0.578 0.500
Dy3 0.332 0.078 0.000
Dy4 0.422 0.832 0.500
Dy5 0.578 0.168 0.500
Dy6 0.668 0.922 0.000
Dy7 0.832 0.422 0.500
Dy8 0.922 0.668 0.000
Ho1 0.000 0.000 0.500
Ho2 0.500 0.500 0.000
In1 0.247 0.247 0.500
In2 0.253 0.747 0.000
In3 0.747 0.253 0.000
In4 0.753 0.753 0.500

Properties
Crystal system = tetragonal


Compound: Dy2Ho6In
Source: Alexandria
Functional: PBE-GGA
Structure: optimized geometry

a = 9.531 Å, b = 9.531 Å, c = 9.531 Å
α = 159.10°, β = 116.06°, γ = 68.07°
Fractional positions:
Dy1 0.154 0.154 0.000
Dy2 0.846 0.846 0.000
Ho1 0.160 0.823 0.337
Ho2 0.197 0.500 0.697
Ho3 0.486 0.823 0.663
Ho4 0.514 0.177 0.337
Ho5 0.803 0.500 0.303
Ho6 0.840 0.177 0.663
In1 0.500 0.000 0.500

Properties
Crystal system = orthorhombic


Compound: Dy7HoIn2
Source: Alexandria
Functional: PBE-GGA
Structure: optimized geometry

a = 8.989 Å, b = 8.989 Å, c = 5.361 Å
α = 90.00°, β = 90.00°, γ = 119.00°
Fractional positions:
Dy1 0.000 0.000 0.000
Dy2 0.198 0.439 0.000
Dy3 0.274 0.726 0.500
Dy4 0.439 0.198 0.000
Dy5 0.561 0.802 0.000
Dy6 0.726 0.274 0.500
Dy7 0.802 0.561 0.000
Ho1 0.500 0.500 0.500
In1 0.196 0.804 0.000
In2 0.804 0.196 0.000

Properties
Crystal system = orthorhombic


Compound: Dy4Ho5In
Source: Alexandria
Functional: PBE-GGA
Structure: optimized geometry

a = 3.533 Å, b = 3.533 Å, c = 24.315 Å
α = 90.00°, β = 90.00°, γ = 90.00°
Fractional positions:
Dy1 0.000 0.000 0.103
Dy2 0.000 0.000 0.310
Dy3 0.000 0.000 0.690
Dy4 0.000 0.000 0.897
Ho1 0.500 0.500 0.000
Ho2 0.500 0.500 0.206
Ho3 0.500 0.500 0.413
Ho4 0.500 0.500 0.587
Ho5 0.500 0.500 0.794
In1 0.000 0.000 0.500

Properties
Crystal system = tetragonal


Compound: Dy5HoIn6
Source: Alexandria
Functional: PBE-GGA
Structure: optimized geometry

a = 8.413 Å, b = 8.413 Å, c = 7.488 Å
α = 90.00°, β = 90.00°, γ = 143.15°
Fractional positions:
Dy1 0.000 0.000 0.000
Dy2 0.333 0.667 0.000
Dy3 0.333 0.667 0.500
Dy4 0.667 0.333 0.000
Dy5 0.667 0.333 0.500
Ho1 0.000 0.000 0.500
In1 0.166 0.834 0.251
In2 0.166 0.834 0.749
In3 0.500 0.500 0.250
In4 0.500 0.500 0.750
In5 0.834 0.166 0.251
In6 0.834 0.166 0.749

Properties
Crystal system = orthorhombic


Compound: Dy3Ho3In2
Source: Alexandria
Functional: PBE-GGA
Structure: optimized geometry

a = 4.833 Å, b = 4.833 Å, c = 9.665 Å
α = 90.00°, β = 90.00°, γ = 90.00°
Fractional positions:
Dy1 0.000 0.000 0.000
Dy2 0.000 0.000 0.500
Dy3 0.500 0.500 0.000
Ho1 0.500 0.000 0.250
Ho2 0.500 0.000 0.750
Ho3 0.500 0.500 0.500
In1 0.000 0.500 0.250
In2 0.000 0.500 0.750

Properties
Crystal system = orthorhombic


Compound: Dy15HoIn4
Source: Alexandria
Functional: PBE-GGA
Structure: optimized geometry

a = 4.852 Å, b = 4.852 Å, c = 24.634 Å
α = 90.00°, β = 90.00°, γ = 90.00°
Fractional positions:
Dy1 0.000 0.000 0.000
Dy2 0.000 0.000 0.204
Dy3 0.000 0.000 0.402
Dy4 0.000 0.000 0.598
Dy5 0.000 0.000 0.796
Dy6 0.000 0.500 0.105
Dy7 0.000 0.500 0.303
Dy8 0.000 0.500 0.500
Dy9 0.000 0.500 0.697
Dy10 0.000 0.500 0.895
Dy11 0.500 0.000 0.105
Dy12 0.500 0.000 0.303
Dy13 0.500 0.000 0.500
Dy14 0.500 0.000 0.697
Dy15 0.500 0.000 0.895
Ho1 0.500 0.500 0.000
In1 0.500 0.500 0.206
In2 0.500 0.500 0.402
In3 0.500 0.500 0.598
In4 0.500 0.500 0.794

Properties
Crystal system = tetragonal


no.,formation enthalpy at 0 K (eV per atom)
1,-0.251
2,0.108
3,-0.123
4,-0.204
5,-0.034
6,-0.094
7,-0.353
8,-0.033
9,-0.461
10,0.126
11,-0.055
12,-0.167
13,0.283
14,-0.325
15,-0.114
16,-0.013
17,0.352
18,-0.081
19,-0.465
20,-0.266
21,-0.203